Record 1
Computed, not measured: a relaxed ZrSiSb2 crystal at the PBE level of DFT.

Calculated values
N(E_F) = 2.38 states/eV per cell
formation energy without anion corrections = 30 meV/atom
space-group type = I4/mmm
spin magnetization = 0.000 μB/atom
total DFT energy (no corrections) = -5.524 eV/atom

Unit cell a=5.734 b=5.734 c=5.734 alpha=135.99 beta=135.99 gamma=63.99
Positions (direct):
Zr1 0.000 0.000 0.000
Si1 0.500 0.500 0.000
Sb1 0.250 0.750 0.500
Sb2 0.750 0.250 0.500

Record 2
Computed, not measured: a relaxed ZrSiSb2 crystal at the PBE level of DFT.

Calculated values
N(E_F) = 1.25 states/eV per cell
formation energy without anion corrections = 44 meV/atom
space-group type = Cmmm
spin magnetization = 0.000 μB/atom
total DFT energy (no corrections) = -5.510 eV/atom

Unit cell a=3.365 b=3.365 c=8.335 alpha=90.00 beta=90.00 gamma=105.40
Positions (direct):
Zr1 0.000 0.000 0.000
Si1 0.000 0.000 0.500
Sb1 0.500 0.500 0.254
Sb2 0.500 0.500 0.746

Record 3
Computed, not measured: a relaxed ZrSi2Sb crystal at the PBE level of DFT.

Calculated values
N(E_F) = 3.73 states/eV per cell
formation energy without anion corrections = 323 meV/atom
space-group type = F-43m
spin magnetization = 0.000 μB/atom
total DFT energy (no corrections) = -5.556 eV/atom

Unit cell a=4.851 b=4.851 c=4.851 alpha=60.00 beta=60.00 gamma=60.00
Positions (direct):
Zr1 0.000 0.000 0.000
Si1 0.250 0.250 0.250
Si2 0.500 0.500 0.500
Sb1 0.750 0.750 0.750

Record 4
Computed, not measured: a relaxed ZrSi2Sb crystal at the PBE level of DFT.

Calculated values
N(E_F) = 2.12 states/eV per cell
formation energy without anion corrections = -22 meV/atom
space-group type = Immm
spin magnetization = 0.000 μB/atom
total DFT energy (no corrections) = -5.901 eV/atom

Unit cell a=5.285 b=5.285 c=5.285 alpha=140.08 beta=125.02 gamma=70.07
Positions (direct):
Zr1 0.000 0.000 0.000
Si1 0.255 0.755 0.500
Si2 0.745 0.245 0.500
Sb1 0.500 0.500 0.000

Record 5
Computed, not measured: a relaxed Zr2SiSb2 crystal at the PBE level of DFT.

Calculated values
N(E_F) = 2.27 states/eV per cell
formation energy without anion corrections = -58 meV/atom
space-group type = I4/mmm
energy relative to the lowest polymorph listed for this composition = 1.78 eV/f.u.
spin magnetization = 0.065 μB/atom
total DFT energy (no corrections) = -6.211 eV/atom

Unit cell a=7.941 b=7.941 c=7.941 alpha=150.75 beta=150.75 gamma=41.84
Positions (direct):
Zr1 0.098 0.098 0.000
Zr2 0.902 0.902 0.000
Si1 0.500 0.500 0.000
Sb1 0.250 0.750 0.500
Sb2 0.750 0.250 0.500

Record 6
Computed, not measured: a relaxed ZrSi2Sb crystal at the PBE level of DFT.

Calculated values
N(E_F) = 1.87 states/eV per cell
formation energy without anion corrections = -130 meV/atom
space-group type = P4mm
spin magnetization = 0.000 μB/atom
total DFT energy (no corrections) = -6.009 eV/atom

Unit cell a=3.717 b=3.717 c=5.611 alpha=90.00 beta=90.00 gamma=90.00
Positions (direct):
Zr1 0.000 0.000 0.000
Si1 0.000 0.000 0.529
Si2 0.500 0.500 0.760
Sb1 0.500 0.500 0.274

Record 7
Computed, not measured: a relaxed ZrSiSb crystal at the PBE level of DFT.

Calculated values
N(E_F) = 2.85 states/eV per cell
formation energy without anion corrections = -31 meV/atom
space-group type = Fmm2
spin magnetization = 0.000 μB/atom
total DFT energy (no corrections) = -6.062 eV/atom

Unit cell a=7.328 b=7.254 c=3.099 alpha=79.08 beta=76.39 gamma=24.53
Positions (direct):
Zr1 0.000 0.000 0.000
Si1 0.632 0.632 0.368
Sb1 0.331 0.331 0.669

Record 8
Computed, not measured: a relaxed ZrSiSb2 crystal at the PBE level of DFT.

Calculated values
N(E_F) = 3.16 states/eV per cell
formation energy without anion corrections = -8 meV/atom
space-group type = C2/m
spin magnetization = 0.000 μB/atom
total DFT energy (no corrections) = -5.562 eV/atom

Unit cell a=4.995 b=4.995 c=3.699 alpha=90.08 beta=90.08 gamma=104.87
Positions (direct):
Zr1 0.000 0.000 0.000
Si1 0.500 0.500 0.000
Sb1 0.000 0.500 0.500
Sb2 0.500 0.000 0.500

Record 9
Computed, not measured: a relaxed Zr2SiSb2 crystal at the PBE level of DFT.

Calculated values
N(E_F) = 4.28 states/eV per cell
formation energy without anion corrections = -414 meV/atom
space-group type = P4/mbm
energy relative to the lowest polymorph listed for this composition = 0.00 eV/f.u.
spin magnetization = 0.000 μB/atom
total DFT energy (no corrections) = -6.567 eV/atom

Unit cell a=7.454 b=7.454 c=4.075 alpha=90.00 beta=90.00 gamma=90.00
Positions (direct):
Zr1 0.156 0.344 0.000
Zr2 0.344 0.844 0.000
Zr3 0.656 0.156 0.000
Zr4 0.844 0.656 0.000
Si1 0.000 0.000 0.000
Si2 0.500 0.500 0.000
Sb1 0.148 0.648 0.500
Sb2 0.352 0.148 0.500
Sb3 0.648 0.852 0.500
Sb4 0.852 0.352 0.500

Record 10
Computed, not measured: a relaxed ZrSiSb crystal at the PBE level of DFT.

Calculated values
N(E_F) = 3.55 states/eV per cell
formation energy without anion corrections = -139 meV/atom
space-group type = Immm
spin magnetization = 0.000 μB/atom
total DFT energy (no corrections) = -6.170 eV/atom

Unit cell a=8.162 b=8.162 c=8.162 alpha=152.67 beta=147.47 gamma=42.99
Positions (direct):
Zr1 0.168 0.168 0.000
Zr2 0.832 0.832 0.000
Si1 0.249 0.000 0.249
Si2 0.751 0.000 0.751
Sb1 0.363 0.363 0.000
Sb2 0.637 0.637 0.000

Record 11
Computed, not measured: a relaxed ZrSi2Sb crystal at the PBE level of DFT.

Calculated values
N(E_F) = 1.72 states/eV per cell
formation energy without anion corrections = 62 meV/atom
space-group type = Cmmm
spin magnetization = 0.000 μB/atom
total DFT energy (no corrections) = -5.817 eV/atom

Unit cell a=3.135 b=3.135 c=8.212 alpha=90.00 beta=90.00 gamma=101.22
Positions (direct):
Zr1 0.000 0.000 0.000
Si1 0.500 0.500 0.229
Si2 0.500 0.500 0.771
Sb1 0.000 0.000 0.500

Record 12
Computed, not measured: a relaxed ZrSiSb2 crystal at the PBE level of DFT.

Calculated values
N(E_F) = 2.30 states/eV per cell
formation energy without anion corrections = -5 meV/atom
space-group type = I-4m2
spin magnetization = 0.000 μB/atom
total DFT energy (no corrections) = -5.559 eV/atom

Unit cell a=5.822 b=5.822 c=5.822 alpha=137.40 beta=137.40 gamma=61.83
Positions (direct):
Zr1 0.000 0.000 0.000
Si1 0.750 0.250 0.500
Sb1 0.250 0.750 0.500
Sb2 0.500 0.500 0.000

Record 13
Computed, not measured: a relaxed ZrSiSb2 crystal at the PBE level of DFT.

Calculated values
N(E_F) = 3.17 states/eV per cell
formation energy without anion corrections = -123 meV/atom
space-group type = P4mm
spin magnetization = 0.000 μB/atom
total DFT energy (no corrections) = -5.677 eV/atom

Unit cell a=3.584 b=3.584 c=7.225 alpha=90.00 beta=90.00 gamma=90.00
Positions (direct):
Zr1 0.000 0.000 0.000
Si1 0.500 0.500 0.838
Sb1 0.000 0.000 0.586
Sb2 0.500 0.500 0.235

Record 14
Computed, not measured: a relaxed ZrSi2Sb crystal at the PBE level of DFT.

Calculated values
N(E_F) = 3.20 states/eV per cell
formation energy without anion corrections = -1 meV/atom
space-group type = P4mm
spin magnetization = 0.000 μB/atom
total DFT energy (no corrections) = -5.881 eV/atom

Unit cell a=3.162 b=3.162 c=8.354 alpha=90.00 beta=90.00 gamma=90.00
Positions (direct):
Zr1 0.000 0.000 0.000
Si1 0.000 0.000 0.641
Si2 0.500 0.500 0.782
Sb1 0.500 0.500 0.279

Record 15
Computed, not measured: a relaxed ZrSiSb2 crystal at the PBE level of DFT.

Calculated values
N(E_F) = 1.96 states/eV per cell
formation energy without anion corrections = -114 meV/atom
space-group type = Cmm2
spin magnetization = 0.000 μB/atom
total DFT energy (no corrections) = -5.668 eV/atom

Unit cell a=3.328 b=3.328 c=8.666 alpha=90.00 beta=90.00 gamma=100.97
Positions (direct):
Zr1 0.000 0.000 0.000
Si1 0.500 0.500 0.807
Sb1 0.000 0.000 0.609
Sb2 0.500 0.500 0.250

Record 16
Computed, not measured: a relaxed ZrSi2Sb2 crystal at the PBE level of DFT.

Calculated values
N(E_F) = 7.54 states/eV per cell
formation energy without anion corrections = 262 meV/atom
space-group type = P4/mbm
energy relative to the lowest polymorph listed for this composition = 0.89 eV/f.u.
spin magnetization = 0.000 μB/atom
total DFT energy (no corrections) = -5.266 eV/atom

Unit cell a=7.670 b=7.670 c=3.787 alpha=90.00 beta=90.00 gamma=90.00
Positions (direct):
Zr1 0.000 0.000 0.000
Zr2 0.500 0.500 0.000
Si1 0.188 0.312 0.500
Si2 0.312 0.812 0.500
Si3 0.688 0.188 0.500
Si4 0.812 0.688 0.500
Sb1 0.139 0.639 0.000
Sb2 0.361 0.139 0.000
Sb3 0.639 0.861 0.000
Sb4 0.861 0.361 0.000

Record 17
Computed, not measured: a relaxed ZrSiSb2 crystal at the PBE level of DFT.

Calculated values
N(E_F) = 2.10 states/eV per cell
formation energy without anion corrections = -76 meV/atom
space-group type = Imm2
spin magnetization = 0.000 μB/atom
total DFT energy (no corrections) = -5.630 eV/atom

Unit cell a=5.641 b=5.641 c=5.641 alpha=141.84 beta=127.33 gamma=66.87
Positions (direct):
Zr1 0.000 0.000 0.000
Si1 0.766 0.266 0.500
Sb1 0.284 0.784 0.500
Sb2 0.545 0.545 0.000

Record 18
Computed, not measured: a relaxed ZrSi2Sb crystal at the PBE level of DFT.

Calculated values
N(E_F) = 1.83 states/eV per cell
formation energy without anion corrections = -139 meV/atom
space-group type = P2/m
spin magnetization = 0.000 μB/atom
total DFT energy (no corrections) = -6.018 eV/atom

Unit cell a=3.693 b=3.743 c=5.933 alpha=90.00 beta=103.67 gamma=90.00
Positions (direct):
Zr1 0.000 0.000 0.000
Si1 0.453 0.500 0.793
Si2 0.547 0.500 0.207
Sb1 0.000 0.000 0.500

Record 19
Computed, not measured: a relaxed ZrSiSb2 crystal at the PBE level of DFT.

Calculated values
N(E_F) = 2.52 states/eV per cell
formation energy without anion corrections = 66 meV/atom
space-group type = Pmmm
spin magnetization = 0.000 μB/atom
total DFT energy (no corrections) = -5.488 eV/atom

Unit cell a=3.669 b=4.858 c=5.026 alpha=90.00 beta=90.00 gamma=90.00
Positions (direct):
Zr1 0.000 0.000 0.000
Si1 0.500 0.000 0.500
Sb1 0.000 0.500 0.500
Sb2 0.500 0.500 0.000

Record 20
Computed, not measured: a relaxed ZrSiSb2 crystal at the PBE level of DFT.

Calculated values
N(E_F) = 5.02 states/eV per cell
formation energy without anion corrections = 265 meV/atom
space-group type = F-43m
spin magnetization = 0.000 μB/atom
total DFT energy (no corrections) = -5.289 eV/atom

Unit cell a=5.055 b=5.055 c=5.055 alpha=60.00 beta=60.00 gamma=60.00
Positions (direct):
Zr1 0.000 0.000 0.000
Si1 0.750 0.750 0.750
Sb1 0.250 0.250 0.250
Sb2 0.500 0.500 0.500

Record 21
Computed, not measured: a relaxed ZrSi2Sb crystal at the PBE level of DFT.

Calculated values
N(E_F) = 2.68 states/eV per cell
formation energy without anion corrections = -55 meV/atom
space-group type = C2/m
spin magnetization = 0.000 μB/atom
total DFT energy (no corrections) = -5.934 eV/atom

Unit cell a=5.191 b=5.191 c=4.804 alpha=90.07 beta=90.07 gamma=41.39
Positions (direct):
Zr1 0.000 0.000 0.000
Si1 0.271 0.271 0.845
Si2 0.729 0.729 0.155
Sb1 0.500 0.500 0.500

Record 22
Computed, not measured: a relaxed ZrSiSb2 crystal at the PBE level of DFT.

Calculated values
N(E_F) = 2.29 states/eV per cell
formation energy without anion corrections = -124 meV/atom
space-group type = Immm
spin magnetization = 0.000 μB/atom
total DFT energy (no corrections) = -5.678 eV/atom

Unit cell a=5.522 b=5.522 c=5.522 alpha=140.51 beta=124.85 gamma=69.93
Positions (direct):
Zr1 0.000 0.000 0.000
Si1 0.500 0.500 0.000
Sb1 0.281 0.781 0.500
Sb2 0.719 0.219 0.500

Record 23
Computed, not measured: a relaxed ZrSi2Sb crystal at the PBE level of DFT.

Calculated values
N(E_F) = 1.79 states/eV per cell
formation energy without anion corrections = -160 meV/atom
space-group type = Imm2
spin magnetization = 0.000 μB/atom
total DFT energy (no corrections) = -6.040 eV/atom

Unit cell a=5.286 b=5.286 c=5.286 alpha=141.12 beta=123.94 gamma=70.31
Positions (direct):
Zr1 0.000 0.000 0.000
Si1 0.545 0.545 0.000
Si2 0.738 0.238 0.500
Sb1 0.287 0.787 0.500

Record 24
Computed, not measured: a relaxed ZrSi2Sb crystal at the PBE level of DFT.

Calculated values
N(E_F) = 1.89 states/eV per cell
formation energy without anion corrections = -31 meV/atom
space-group type = Cmm2
spin magnetization = 0.000 μB/atom
total DFT energy (no corrections) = -5.911 eV/atom

Unit cell a=3.161 b=3.161 c=8.435 alpha=90.00 beta=90.00 gamma=100.06
Positions (direct):
Zr1 0.000 0.000 0.000
Si1 0.000 0.000 0.624
Si2 0.500 0.500 0.782
Sb1 0.500 0.500 0.272

Record 25
Computed, not measured: a relaxed ZrSiSb crystal at the PBE level of DFT.

Calculated values
N(E_F) = 1.52 states/eV per cell
formation energy without anion corrections = -61 meV/atom
space-group type = P3m1
spin magnetization = 0.000 μB/atom
total DFT energy (no corrections) = -6.092 eV/atom

Unit cell a=3.298 b=3.298 c=6.693 alpha=90.00 beta=90.00 gamma=120.00
Positions (direct):
Zr1 0.000 0.000 0.000
Si1 0.333 0.667 0.691
Sb1 0.667 0.333 0.358

Record 26
Computed, not measured: a relaxed SmSb6 crystal at the PBE level of DFT.

Calculated values
N(E_F) = 8.83 states/eV per cell
formation energy without anion corrections = 545 meV/atom
space-group type = Im-3m
spin magnetization = 0.140 μB/atom
total DFT energy (no corrections) = -3.663 eV/atom

Unit cell a=7.199 b=7.199 c=7.199 alpha=109.47 beta=109.47 gamma=109.47
Positions (direct):
Sm1 0.000 0.000 0.000
Sb1 0.250 0.500 0.750
Sb2 0.250 0.750 0.500
Sb3 0.500 0.250 0.750
Sb4 0.500 0.750 0.250
Sb5 0.750 0.250 0.500
Sb6 0.750 0.500 0.250

Record 27
Computed, not measured: a relaxed SmSb5 crystal at the PBE level of DFT.

Calculated values
N(E_F) = 3.55 states/eV per cell
formation energy without anion corrections = -244 meV/atom
space-group type = Cmmm
spin magnetization = 0.000 μB/atom
total DFT energy (no corrections) = -4.466 eV/atom

Unit cell a=8.625 b=8.625 c=4.496 alpha=90.00 beta=90.00 gamma=149.61
Positions (direct):
Sm1 0.000 0.000 0.000
Sb1 0.156 0.844 0.500
Sb2 0.343 0.657 0.000
Sb3 0.500 0.500 0.500
Sb4 0.657 0.343 0.000
Sb5 0.844 0.156 0.500

Record 28
Computed, not measured: a relaxed Sm3Sb4 crystal at the PBE level of DFT.

Calculated values
N(E_F) = 4.15 states/eV per cell
formation energy without anion corrections = -835 meV/atom
space-group type = R-3m
spin magnetization = 0.000 μB/atom
total DFT energy (no corrections) = -5.213 eV/atom

Unit cell a=12.487 b=12.487 c=12.487 alpha=21.13 beta=21.13 gamma=21.13
Positions (direct):
Sm1 0.000 0.000 0.000
Sm2 0.239 0.239 0.239
Sm3 0.761 0.761 0.761
Sb1 0.148 0.148 0.148
Sb2 0.382 0.382 0.382
Sb3 0.618 0.618 0.618
Sb4 0.852 0.852 0.852

Record 29
Computed, not measured: a relaxed Sm4Sb crystal at the PBE level of DFT.

Calculated values
N(E_F) = 11.11 states/eV per cell
formation energy without anion corrections = 52 meV/atom
space-group type = Pm-3m
spin magnetization = 0.048 μB/atom
total DFT energy (no corrections) = -4.548 eV/atom

Unit cell a=5.862 b=5.862 c=5.862 alpha=90.00 beta=90.00 gamma=90.00
Positions (direct):
Sm1 0.000 0.000 0.000
Sm2 0.000 0.500 0.500
Sm3 0.500 0.000 0.500
Sm4 0.500 0.500 0.000
Sb1 0.500 0.500 0.500